Arrangement a

VASP calculation (PBE-GGA) on crystalline Rb2TlHg at its relaxed geometry.

Results
M_tot = 0.000 Bohr magnetons per cell
SG = No. 123

abc: 4.185 4.185 10.019
angles: 90.00 90.00 90.00
Fractional positions:
Rb (0.000, 0.000, 0.245)
Rb (0.000, 0.000, 0.755)
Tl (0.500, 0.500, 0.500)
Hg (0.500, 0.500, 0.000)

***

Arrangement b

VASP calculation (PBE-GGA) on crystalline Rb2TlHg at its relaxed geometry.

Results
M_tot = 0.000 Bohr magnetons per cell
SG = No. 166

abc: 4.173 4.173 38.585
angles: 90.00 90.00 120.00
Fractional positions:
Rb (0.000, 0.000, 0.095)
Rb (0.000, 0.000, 0.905)
Rb (0.333, 0.667, 0.572)
Rb (0.333, 0.667, 0.761)
Rb (0.667, 0.333, 0.239)
Rb (0.667, 0.333, 0.428)
Tl (0.000, 0.000, 0.000)
Tl (0.333, 0.667, 0.667)
Tl (0.667, 0.333, 0.333)
Hg (0.000, 0.000, 0.500)
Hg (0.333, 0.667, 0.167)
Hg (0.667, 0.333, 0.833)

***

Arrangement c

VASP calculation (PBE-GGA) on crystalline Rb2TlHg at its relaxed geometry.

Results
M_tot = 0.000 Bohr magnetons per cell
SG = No. 5

abc: 12.148 7.060 5.184
angles: 90.00 115.06 90.00
Fractional positions:
Rb (0.192, 0.000, 0.192)
Rb (0.308, 0.500, 0.808)
Rb (0.692, 0.500, 0.192)
Rb (0.808, 0.000, 0.808)
Tl (0.000, 0.502, 0.000)
Tl (0.500, 0.002, 0.000)
Hg (0.000, 0.708, 0.500)
Hg (0.500, 0.208, 0.500)

***

Least stable structure: arrangement b

***

Arrangement a

VASP calculation (PBE-GGA) on crystalline Rb3Tl8Hg at its relaxed geometry.

Results
M_tot = 0.000 Bohr magnetons per cell
SG = No. 160

abc: 11.582 11.582 11.582
angles: 34.14 34.14 34.14
Fractional positions:
Rb (0.000, 0.000, 0.000)
Rb (0.127, 0.127, 0.127)
Rb (0.511, 0.511, 0.511)
Tl (0.064, 0.565, 0.565)
Tl (0.068, 0.068, 0.565)
Tl (0.068, 0.565, 0.068)
Tl (0.316, 0.316, 0.316)
Tl (0.565, 0.064, 0.565)
Tl (0.565, 0.068, 0.068)
Tl (0.565, 0.565, 0.064)
Tl (0.815, 0.815, 0.815)
Hg (0.637, 0.637, 0.637)

***

Arrangement b

VASP calculation (PBE-GGA) on crystalline Rb3Tl8Hg at its relaxed geometry.

Results
M_tot = 0.000 Bohr magnetons per cell
SG = No. 156

abc: 6.872 6.872 10.538
angles: 90.00 90.00 120.00
Fractional positions:
Rb (0.000, 0.000, 0.000)
Rb (0.000, 0.000, 0.384)
Rb (0.333, 0.667, 0.859)
Tl (0.009, 0.505, 0.193)
Tl (0.334, 0.167, 0.681)
Tl (0.495, 0.505, 0.193)
Tl (0.495, 0.991, 0.193)
Tl (0.667, 0.333, 0.434)
Tl (0.667, 0.333, 0.940)
Tl (0.833, 0.167, 0.681)
Tl (0.833, 0.666, 0.681)
Hg (0.333, 0.667, 0.504)

***

Least stable structure: arrangement a

***

Arrangement a

VASP calculation (PBE-GGA) on crystalline RbTlHg3 at its relaxed geometry.

Results
M_tot = 0.000 Bohr magnetons per cell
SG = No. 63

abc: 10.125 10.125 6.221
angles: 90.00 90.00 145.85
Fractional positions:
Rb (0.192, 0.808, 0.750)
Rb (0.808, 0.192, 0.250)
Tl (0.458, 0.542, 0.250)
Tl (0.542, 0.458, 0.750)
Hg (0.000, 0.000, 0.000)
Hg (0.000, 0.000, 0.500)
Hg (0.127, 0.384, 0.750)
Hg (0.384, 0.127, 0.250)
Hg (0.616, 0.873, 0.750)
Hg (0.873, 0.616, 0.250)

***

Arrangement b

VASP calculation (PBE-GGA) on crystalline RbTlHg3 at its relaxed geometry.

Results
M_tot = 0.000 Bohr magnetons per cell
SG = No. 63

abc: 15.961 15.961 5.457
angles: 90.00 90.00 166.48
Fractional positions:
Rb (0.079, 0.921, 0.750)
Rb (0.921, 0.079, 0.250)
Tl (0.220, 0.780, 0.250)
Tl (0.780, 0.220, 0.750)
Hg (0.318, 0.682, 0.250)
Hg (0.370, 0.630, 0.750)
Hg (0.474, 0.526, 0.750)
Hg (0.526, 0.474, 0.250)
Hg (0.630, 0.370, 0.250)
Hg (0.682, 0.318, 0.750)

***

Arrangement c

VASP calculation (PBE-GGA) on crystalline RbTlHg3 at its relaxed geometry.

Results
M_tot = 0.000 Bohr magnetons per cell
SG = No. 221

abc: 6.466 6.466 6.466
angles: 90.00 90.00 90.00
Fractional positions:
Rb (0.000, 0.000, 0.000)
Tl (0.500, 0.500, 0.500)
Hg (0.000, 0.000, 0.500)
Hg (0.000, 0.500, 0.000)
Hg (0.500, 0.000, 0.000)

***

Arrangement d

VASP calculation (PBE-GGA) on crystalline RbTlHg3 at its relaxed geometry.

Results
M_tot = 0.000 Bohr magnetons per cell
SG = No. 221

abc: 5.912 5.912 5.912
angles: 90.00 90.00 90.00
Fractional positions:
Rb (0.000, 0.000, 0.000)
Tl (0.500, 0.500, 0.500)
Hg (0.000, 0.500, 0.500)
Hg (0.500, 0.000, 0.500)
Hg (0.500, 0.500, 0.000)

***

Least stable structure: arrangement c

***

Arrangement a

VASP calculation (PBE-GGA) on crystalline RbTl3Hg2 at its relaxed geometry.

Results
M_tot = 0.000 Bohr magnetons per cell
SG = No. 12

abc: 10.802 10.802 3.644
angles: 98.92 98.92 70.27
Fractional positions:
Rb (0.157, 0.157, 0.151)
Rb (0.843, 0.843, 0.849)
Tl (0.115, 0.551, 0.337)
Tl (0.363, 0.637, 0.000)
Tl (0.449, 0.885, 0.663)
Tl (0.551, 0.115, 0.337)
Tl (0.637, 0.363, 0.000)
Tl (0.885, 0.449, 0.663)
Hg (0.140, 0.860, 0.500)
Hg (0.342, 0.342, 0.837)
Hg (0.658, 0.658, 0.163)
Hg (0.860, 0.140, 0.500)

***

Arrangement b

VASP calculation (PBE-GGA) on crystalline RbTl3Hg2 at its relaxed geometry.

Results
M_tot = 0.000 Bohr magnetons per cell
SG = No. 63

abc: 7.763 7.763 6.766
angles: 90.00 90.00 81.97
Fractional positions:
Rb (0.136, 0.864, 0.750)
Rb (0.864, 0.136, 0.250)
Tl (0.082, 0.611, 0.250)
Tl (0.389, 0.918, 0.250)
Tl (0.489, 0.511, 0.750)
Tl (0.511, 0.489, 0.250)
Tl (0.611, 0.082, 0.750)
Tl (0.918, 0.389, 0.750)
Hg (0.255, 0.255, 0.000)
Hg (0.255, 0.255, 0.500)
Hg (0.745, 0.745, 0.000)
Hg (0.745, 0.745, 0.500)

***

Least stable structure: arrangement b

***

Arrangement a

VASP calculation (PBE-GGA) on crystalline RbTl12Hg6 at its relaxed geometry.

Results
M_tot = 0.000 Bohr magnetons per cell
SG = No. 166

abc: 9.031 9.031 9.031
angles: 105.87 105.87 105.87
Fractional positions:
Rb (0.000, 0.000, 0.000)
Tl (0.116, 0.500, 0.884)
Tl (0.116, 0.884, 0.500)
Tl (0.153, 0.405, 0.405)
Tl (0.405, 0.153, 0.405)
Tl (0.405, 0.405, 0.153)
Tl (0.500, 0.116, 0.884)
Tl (0.500, 0.884, 0.116)
Tl (0.595, 0.595, 0.847)
Tl (0.595, 0.847, 0.595)
Tl (0.847, 0.595, 0.595)
Tl (0.884, 0.116, 0.500)
Tl (0.884, 0.500, 0.116)
Hg (0.278, 0.278, 0.716)
Hg (0.278, 0.716, 0.278)
Hg (0.284, 0.722, 0.722)
Hg (0.716, 0.278, 0.278)
Hg (0.722, 0.284, 0.722)
Hg (0.722, 0.722, 0.284)

***

Arrangement b

VASP calculation (PBE-GGA) on crystalline RbTl12Hg6 at its relaxed geometry.

Results
M_tot = 0.000 Bohr magnetons per cell
SG = No. 166

abc: 9.559 9.559 9.559
angles: 109.16 109.16 109.16
Fractional positions:
Rb (0.000, 0.000, 0.000)
Tl (0.169, 0.500, 0.831)
Tl (0.169, 0.831, 0.500)
Tl (0.171, 0.475, 0.475)
Tl (0.475, 0.171, 0.475)
Tl (0.475, 0.475, 0.171)
Tl (0.500, 0.169, 0.831)
Tl (0.500, 0.831, 0.169)
Tl (0.525, 0.525, 0.829)
Tl (0.525, 0.829, 0.525)
Tl (0.829, 0.525, 0.525)
Tl (0.831, 0.169, 0.500)
Tl (0.831, 0.500, 0.169)
Hg (0.134, 0.134, 0.465)
Hg (0.134, 0.465, 0.134)
Hg (0.465, 0.134, 0.134)
Hg (0.535, 0.866, 0.866)
Hg (0.866, 0.535, 0.866)
Hg (0.866, 0.866, 0.535)

***

Least stable structure: arrangement b